Entry 1:
Material: AlCu7
Method: DFT, meta-GGA SCAN
State: single point on PBEsol structure

Structure (CIF):
```
data_AlCu7
_chemical_formula_sum 'Al4 Cu28'
_space_group_name_H-M_alt 'F m -3 m'
_space_group_IT_number 225
_space_group_name_Hall '-F 4 2 3'
_cell_length_a 7.184
_cell_length_b 7.184
_cell_length_c 7.184
_cell_angle_alpha 90.00
_cell_angle_beta 90.00
_cell_angle_gamma 90.00
loop_
_atom_site_label
_atom_site_fract_x
_atom_site_fract_y
_atom_site_fract_z
Al1 0.000 0.000 0.000
Cu1 0.000 0.000 0.500
Cu2 0.000 0.250 0.250
```

Output
**DFT formation energy**: -12.1 kJ per mole of atoms
**Density of states at the Fermi level**: 0.220 states/eV/atom
**Spin magnetization**: 0.00 μB per formula unit
**E**: -14.394 eV/atom

Entry 2:
Material: Al3Cu
Method: DFT, meta-GGA SCAN
State: single point on PBEsol structure

Structure (CIF):
```
data_Al3Cu
_chemical_formula_sum 'Al12 Cu4'
_space_group_name_H-M_alt 'I 4/m m m'
_space_group_IT_number 139
_space_group_name_Hall '-I 4 2'
_cell_length_a 3.890
_cell_length_b 3.890
_cell_length_c 15.578
_cell_angle_alpha 90.00
_cell_angle_beta 90.00
_cell_angle_gamma 90.00
loop_
_atom_site_label
_atom_site_fract_x
_atom_site_fract_y
_atom_site_fract_z
Al1 0.000 0.000 0.124
Al2 0.000 0.500 0.000
Al3 0.000 0.500 0.250
Cu1 0.000 0.000 0.374
```

Output
**DFT formation energy**: -5.9 kJ per mole of atoms
**Density of states at the Fermi level**: 0.323 states/eV/atom
**Spin magnetization**: 0.00 μB per formula unit
**E**: -9.675 eV/atom

Entry 3:
Material: Al4Cu
Method: DFT, meta-GGA SCAN
State: single point on PBEsol structure

Structure (CIF):
```
data_Al4Cu
_chemical_formula_sum 'Al8 Cu2'
_space_group_name_H-M_alt 'I 4/m'
_space_group_IT_number 87
_space_group_name_Hall '-I 4'
_cell_length_a 6.170
_cell_length_b 6.170
_cell_length_c 3.948
_cell_angle_alpha 90.00
_cell_angle_beta 90.00
_cell_angle_gamma 90.00
loop_
_atom_site_label
_atom_site_fract_x
_atom_site_fract_y
_atom_site_fract_z
Al1 0.106 0.298 0.000
Cu1 0.000 0.000 0.500
```

Output
**DFT formation energy**: -4.8 kJ per mole of atoms
**Density of states at the Fermi level**: 0.306 states/eV/atom
**Spin magnetization**: 0.02 μB per formula unit
**E**: -9.291 eV/atom